Density functional theory data (GGA-PBEsol) for a relaxed structure of Sc2OsRu.

* mass density: 9.92 g/cm3
* magnetic moment: 0.00 μB per cell
* formation enthalpy at 0 K: -0.394 eV per atom
* symmetry: No. 123

```
Sc2OsRu
1.0
-2.194 2.137 0.815
-0.411 -1.479 2.772
4.513 3.637 2.611
Os Sc Ru
1 2 1
Direct
0.500 0.500 0.000
0.000 0.000 0.749
0.000 0.000 0.251
0.500 0.500 0.500
```

***

Density functional theory data (GGA-PBEsol) for a relaxed structure of BeMoOs2.

* mass density: 15.84 g/cm3
* magnetic moment: 0.00 μB per cell
* formation enthalpy at 0 K: -0.062 eV per atom
* symmetry: No. 123

```
BeMoOs2
1.0
2.838 0.000 0.000
0.000 2.838 0.000
0.000 0.000 6.318
Os Mo Be
2 1 1
Direct
0.000 0.000 0.217
0.000 0.000 0.783
0.500 0.500 0.500
0.500 0.500 0.000
```

***

Density functional theory data (GGA-PBEsol) for a relaxed structure of Ta2VO6.

* mass density: 8.29 g/cm3
* magnetic moment: 5.84 μB per cell
* ΔE_f (raw): -2.642 eV/atom
* symmetry: No. 136

```
Ta2VO6
1.0
4.764 0.000 0.000
0.000 4.764 0.000
0.000 0.000 8.984
Ta O V
4 12 2
Direct
0.000 0.000 0.670
0.000 0.000 0.330
0.500 0.500 0.170
0.500 0.500 0.830
0.297 0.703 0.670
0.694 0.306 0.000
0.797 0.797 0.170
0.306 0.694 0.000
0.203 0.203 0.830
0.806 0.806 0.500
0.703 0.297 0.670
0.203 0.203 0.170
0.703 0.297 0.330
0.797 0.797 0.830
0.194 0.194 0.500
0.297 0.703 0.330
0.000 0.000 0.000
0.500 0.500 0.500
```

***

Density functional theory data (GGA-PBEsol) for a relaxed structure of CrCd2Au.

* mass density: 11.09 g/cm3
* excess energy over the best structure of this formula in the dataset: 0 meV per atom
* magnetic moment: 3.98 μB per cell
* formation enthalpy at 0 K: 0.149 eV per atom
* symmetry: No. 119

```
CrCd2Au
1.0
-1.040 3.940 -1.132
-3.396 -1.482 -2.038
0.065 -0.846 4.894
Cd Au Cr
2 1 1
Direct
0.500 0.500 0.000
0.750 0.250 0.500
0.250 0.750 0.500
0.000 0.000 0.000
```

***

Density functional theory data (GGA-PBEsol) for a relaxed structure of ScNb2MoN.

* mass density: 5.88 g/cm3
* magnetic moment: 0.00 μB per cell
* ΔE_f (raw): 2.789 eV/atom
* symmetry: No. 123

```
ScNb2MoN
1.0
-3.998 -0.311 1.651
-1.556 -1.732 -4.095
0.953 -4.368 1.485
Mo Nb N Sc
1 2 1 1
Direct
0.500 0.000 0.000
0.000 0.000 0.500
0.000 0.500 0.000
0.500 0.500 0.500
0.000 0.000 0.000
```

***

Density functional theory data (GGA-PBEsol) for a relaxed structure of Sr8Cu8O17.

* mass density: 5.84 g/cm3
* magnetic moment: 0.00 μB per cell
* ΔE_f (raw): -1.701 eV/atom
* symmetry: No. 12

```
Sr8Cu8O17
1.0
-7.427 -2.177 0.081
5.822 -6.171 -1.768
-0.545 2.146 7.700
Sr O Cu
8 17 8
Direct
0.880 0.240 0.500
0.252 0.000 0.000
0.641 0.760 0.500
0.359 0.240 0.500
0.748 0.000 0.000
0.000 0.500 0.000
0.500 0.500 0.000
0.120 0.760 0.500
0.061 0.622 0.745
0.939 0.378 0.255
0.561 0.622 0.745
0.685 0.370 0.746
0.439 0.378 0.255
0.188 0.866 0.231
0.804 0.607 0.234
0.000 0.000 0.500
0.937 0.873 0.766
0.315 0.630 0.254
0.438 0.876 0.746
0.196 0.393 0.766
0.063 0.127 0.234
0.678 0.866 0.231
0.562 0.124 0.254
0.322 0.134 0.769
0.812 0.134 0.769
0.565 0.131 0.761
0.685 0.369 0.246
0.435 0.869 0.239
0.812 0.624 0.756
0.188 0.376 0.244
0.065 0.131 0.763
0.935 0.869 0.237
0.315 0.631 0.754
```

***

Density functional theory data (GGA-PBEsol) for a relaxed structure of Mn2FeRu.

* mass density: 9.49 g/cm3
* excess energy over the best structure of this formula in the dataset: 45 meV per atom
* magnetic moment: 6.02 μB per cell
* formation enthalpy at 0 K: 0.154 eV per atom
* symmetry: No. 123

```
Mn2FeRu
1.0
2.846 0.000 0.000
0.000 2.846 0.000
0.000 0.000 5.761
Fe Ru Mn
1 1 2
Direct
0.500 0.500 0.500
0.500 0.500 0.000
0.000 0.000 0.267
0.000 0.000 0.733
```

***

Density functional theory data (GGA-PBEsol) for a relaxed structure of InPbSe2O.

* mass density: 7.18 g/cm3
* magnetic moment: 0.87 μB per cell
* ΔE_f (raw): -0.310 eV/atom
* symmetry: No. 123

```
InPbSe2O
1.0
4.011 0.000 0.000
0.000 5.346 0.000
0.000 0.000 5.346
In Pb O Se
1 1 1 2
Direct
0.000 0.000 0.000
0.500 0.500 0.500
0.500 0.000 0.000
0.000 0.000 0.500
0.000 0.500 0.000
```